No. 1
Density functional theory data (PBE) for a relaxed MgSc2Co2 crystal.

Cell: 4.1933 4.1933 10.5010 Å, 90.00 90.00 90.00°
Last column: nearest neighbours and their distance in Å.
Space group I4/mmm (No. 139)
One atom of each set of equivalent atoms:
Mg (0.0000, 0.0000, 0.0000) [2 per cell]  8 Co 3.16, 8 Sc 3.36
Sc (0.0000, 0.5000, 0.2500) [4 per cell]  4 Co 2.59
Co (0.0000, 0.0000, 0.3950) [4 per cell]  1 Co 2.20

Calculated values
The energy of formation is 0.055 eV per atom. The total moment comes out at 0.0 μB/cell. Its total DFT energy (no corrections) is -28.19 eV/f.u.

No. 2
Density functional theory data (PBE) for a relaxed BaLa2Cu crystal.

Cell: 3.8118 3.8118 9.9013 Å, 90.00 90.00 90.00°
Last column: nearest neighbours and their distance in Å.
Space group P4/mmm (No. 123)
One atom of each set of equivalent atoms:
Ba (0.0000, 0.0000, 0.0000) [1 per cell]  4 Ba 3.81
La (0.5000, 0.5000, 0.3410) [2 per cell]  4 Cu 3.12, 1 La 3.15
Cu (0.0000, 0.0000, 0.5000) [1 per cell]  8 La 3.12

Calculated values
The value obtained for the distance to the lowest polymorph of the same formula is 0.00 eV/f.u. The energy of formation is 0.016 eV per atom. The total moment comes out at 0.0 μB/cell. Its total DFT energy (no corrections) is -15.81 eV/f.u.

No. 3
Density functional theory data (PBE) for a relaxed Co3C2 crystal.

Cell: 2.9255 2.9255 18.1609 Å, 90.00 90.00 120.00°
Last column: nearest neighbours and their distance in Å.
Space group R-3m (No. 166, hexagonal axes)
One atom of each set of equivalent atoms:
Co (0.0000, 0.0000, 0.0000) [3 per cell]  6 C 2.08
Co (0.0000, 0.0000, 0.2260) [6 per cell]  3 C 1.84
C (0.0000, 0.0000, 0.4005) [6 per cell]  3 Co 1.84

Calculated values
The energy of formation is 0.368 eV per atom. The total moment comes out at 0.0 μB/cell. Its total DFT energy (no corrections) is -37.92 eV/f.u.